1.
A geometry-optimized Ba2ZnCdN structure, computed with GGA-PBE.

POSCAR file:
```
Ba2ZnCdN
1.0
5.9472 0.0000 0.0000
0.0000 5.9472 0.0000
0.0000 0.0000 3.9673
Ba Zn Cd N
2 1 1 1
Direct
0.0000 0.5000 0.0000 Ba
0.5000 0.0000 0.0000 Ba
0.0000 0.0000 0.5000 Zn
0.5000 0.5000 0.5000 Cd
0.0000 0.0000 0.0000 N
```

Values from the calculation:
The energy above the most stable polymorph in this dataset comes out at 0.542 eV/f.u. The raw formation energy comes out at -0.20 eV/atom.

2.
A geometry-optimized Zr2NpIr structure, computed with GGA-PBE.

POSCAR file:
```
Zr2NpIr
1.0
3.2514 0.0000 0.0000
0.0000 3.2514 0.0000
0.0000 0.0000 7.7884
Zr Np Ir
2 1 1
Direct
0.0000 0.0000 0.2175 Zr
0.0000 0.0000 0.7825 Zr
0.5000 0.5000 0.5000 Np
0.5000 0.5000 0.0000 Ir
```

Values from the calculation:
The energy above the most stable polymorph in this dataset comes out at 0.000 eV/f.u. For the energy of formation, the calculation gives -0.20 eV/atom.

3.
A geometry-optimized PrTh2Zn3 structure, computed with GGA-PBE.

POSCAR file:
```
PrTh2Zn3
1.0
5.1980 0.0000 0.0000
-2.5990 4.5016 0.0000
0.0000 0.0000 6.3841
Pr Th Zn
1 2 3
Direct
0.0000 0.0000 0.0000 Pr
0.3333 0.6667 0.6618 Th
0.6667 0.3333 0.3382 Th
0.0000 0.0000 0.5000 Zn
0.3333 0.6667 0.1657 Zn
0.6667 0.3333 0.8343 Zn
```

Values from the calculation:
For the energy of formation, the calculation gives -0.21 eV/atom.

4.
A geometry-optimized AcTlAs2Pd4 structure, computed with GGA-PBE.

POSCAR file:
```
AcTlAs2Pd4
1.0
4.5575 0.0000 0.0000
0.0000 4.5575 0.0000
0.0000 0.0000 8.1067
Ac Tl As Pd
1 1 2 4
Direct
0.0000 0.0000 0.0000 Ac
0.0000 0.0000 0.5000 Tl
0.5000 0.5000 0.1622 As
0.5000 0.5000 0.8378 As
0.0000 0.5000 0.2973 Pd
0.0000 0.5000 0.7027 Pd
0.5000 0.0000 0.2973 Pd
0.5000 0.0000 0.7027 Pd
```

Values from the calculation:
For the energy of formation, the calculation gives -0.57 eV/atom.

5.
A geometry-optimized Ti4CoPd3 structure, computed with GGA-PBE.

POSCAR file:
```
Ti4CoPd3
1.0
2.8574 0.0000 0.0000
0.0000 2.8574 0.0000
0.0000 0.0000 14.7174
Ti Co Pd
4 1 3
Direct
0.0000 0.0000 0.1071 Ti
0.0000 0.0000 0.3696 Ti
0.0000 0.0000 0.6304 Ti
0.0000 0.0000 0.8929 Ti
0.5000 0.5000 0.0000 Co
0.5000 0.5000 0.2380 Pd
0.5000 0.5000 0.5000 Pd
0.5000 0.5000 0.7620 Pd
```

Values from the calculation:
For the energy of formation, the calculation gives -0.49 eV/atom.

6.
A geometry-optimized RbO8F6 structure, computed with GGA-PBE.

POSCAR file:
```
RbO8F6
1.0
5.6961 0.0000 0.0000
0.0975 5.7165 0.0000
0.8935 1.4158 7.3368
Rb O F
1 8 6
Direct
0.0000 0.0000 0.0000 Rb
0.0281 0.7219 0.5911 O
0.2397 0.7417 0.5648 O
0.4071 0.5223 0.2239 O
0.4629 0.3146 0.8497 O
0.5371 0.6854 0.1503 O
0.5929 0.4777 0.7761 O
0.7603 0.2583 0.4352 O
0.9719 0.2781 0.4089 O
0.1040 0.2181 0.6078 F
0.1401 0.4959 0.0728 F
0.4385 0.9524 0.2036 F
0.5615 0.0476 0.7964 F
0.8599 0.5041 0.9272 F
0.8960 0.7819 0.3922 F
```

Values from the calculation:
The raw formation energy comes out at -0.43 eV/atom.

7.
A geometry-optimized Ca8Tc3N8 structure, computed with GGA-PBE.

POSCAR file:
```
Ca8Tc3N8
1.0
9.1239 -2.5171 0.0000
9.1239 2.5171 0.0000
-1.9676 0.0000 7.0507
Ca Tc N
8 3 8
Direct
0.0248 0.0248 0.2572 Ca
0.1959 0.1959 0.7939 Ca
0.3369 0.3369 0.5311 Ca
0.4029 0.4029 0.0436 Ca
0.5971 0.5971 0.9564 Ca
0.6631 0.6631 0.4689 Ca
0.8041 0.8041 0.2061 Ca
0.9752 0.9752 0.7428 Ca
0.1878 0.1878 0.2054 Tc
0.5000 0.5000 0.5000 Tc
0.8122 0.8122 0.7946 Tc
0.1004 0.1004 0.9951 N
0.1752 0.1752 0.4471 N
0.2862 0.2862 0.1749 N
0.4729 0.4729 0.7283 N
0.5271 0.5271 0.2717 N
0.7138 0.7138 0.8251 N
0.8248 0.8248 0.5529 N
0.8996 0.8996 0.0049 N
```

Values from the calculation:
The raw formation energy comes out at -0.73 eV/atom.

8.
A geometry-optimized HfP2SeCl structure, computed with GGA-PBE.

POSCAR file:
```
HfP2SeCl
1.0
5.0890 0.0000 0.0000
0.0000 5.0890 0.0000
0.0000 0.0000 4.7703
Hf P Se Cl
1 2 1 1
Direct
0.0000 0.0000 0.0000 Hf
0.0000 0.5000 0.0000 P
0.5000 0.0000 0.0000 P
0.5000 0.5000 0.5000 Se
0.0000 0.0000 0.5000 Cl
```

Values from the calculation:
The energy above the most stable polymorph in this dataset comes out at 0.000 eV/f.u. The raw formation energy comes out at 0.11 eV/atom.

9.
A geometry-optimized BaReBr structure, computed with GGA-PBE.

POSCAR file:
```
BaReBr
1.0
0.0000 2.3968 6.4118
2.3933 0.0000 6.4118
2.3933 2.3968 0.0000
Ba Re Br
1 1 1
Direct
0.0000 0.0000 0.0000 Ba
0.3102 0.3102 0.6898 Re
0.7129 0.7129 0.2871 Br
```

Values from the calculation:
The energy above the most stable polymorph in this dataset comes out at 0.051 eV/f.u. The raw formation energy comes out at 0.90 eV/atom.

10.
A geometry-optimized NaHfIn structure, computed with GGA-PBE.

POSCAR file:
```
NaHfIn
1.0
5.4164 0.0000 0.0000
0.0000 1.6088 8.0886
0.0000 -1.6088 8.0886
Na Hf In
2 2 2
Direct
0.0000 0.0000 0.0000 Na
0.0000 0.3351 0.3351 Na
0.5000 0.1222 0.1222 Hf
0.5000 0.7764 0.7764 Hf
0.0000 0.6711 0.6711 In
0.5000 0.4473 0.4473 In
```

Values from the calculation:
The energy above the most stable polymorph in this dataset comes out at 0.490 eV/f.u. For the energy of formation, the calculation gives 0.07 eV/atom.

11.
A geometry-optimized Li4ZnMo structure, computed with GGA-PBE.

POSCAR file:
```
Li4ZnMo
1.0
0.0000 3.5386 3.5386
3.5386 0.0000 3.5386
3.5386 3.5386 0.0000
Li Zn Mo
4 1 1
Direct
0.1247 0.1247 0.1247 Li
0.1247 0.1247 0.6260 Li
0.1247 0.6260 0.1247 Li
0.6260 0.1247 0.1247 Li
0.5000 0.5000 0.5000 Zn
0.7500 0.7500 0.7500 Mo
```

Values from the calculation:
For the energy of formation, the calculation gives 0.42 eV/atom.

12.
A geometry-optimized PrEr2Be structure, computed with GGA-PBE.

POSCAR file:
```
PrEr2Be
1.0
3.4456 0.0000 0.0000
0.0000 3.4456 0.0000
0.0000 0.0000 8.8114
Pr Er Be
1 2 1
Direct
0.0000 0.0000 0.0000 Pr
0.5000 0.5000 0.3140 Er
0.5000 0.5000 0.6860 Er
0.0000 0.0000 0.5000 Be
```

Values from the calculation:
The energy above the most stable polymorph in this dataset comes out at 0.000 eV/f.u. For the energy of formation, the calculation gives 0.06 eV/atom.

Number 1: size of the total moment 0.00 μB/cell, final energy -3.0697 eV per atom. Number 2: size of the total moment 3.85 μB/cell, final energy -9.9246 eV per atom. Number 3: size of the total moment 0.00 μB/cell, final energy -4.1151 eV per atom. Number 4: size of the total moment 0.00 μB/cell, final energy -5.1403 eV per atom. Number 5: size of the total moment 1.57 μB/cell, final energy -7.2699 eV per atom. Number 6: size of the total moment 3.00 μB/cell, final energy -3.8852 eV per atom. Number 7: size of the total moment 3.07 μB/cell, final energy -6.7112 eV per atom. Number 8: size of the total moment 0.00 μB/cell, final energy -5.1115 eV per atom. Number 9: size of the total moment 0.00 μB/cell, final energy -4.4498 eV per atom. Number 10: size of the total moment 0.00 μB/cell, final energy -4.5987 eV per atom. Number 11: size of the total moment 2.37 μB/cell, final energy -2.8690 eV per atom. Number 12: size of the total moment 0.00 μB/cell, final energy -4.3484 eV per atom.